# 1
The following is a PBE calculation of a relaxed In2SbCl8 crystal, from the Alexandria database.

Calculated values
- SG: No. 12
- E: -3.09 eV/atom
- Uncorrected formation energy: -872 meV/atom
- Size of the total moment: 1.00 μB/cell

a b c (Å): 8.6501 7.6569 7.6569
angles (deg): 57.79 94.52 94.52
With the nearest neighbours (Å) after each atom.
Positions (direct):
Cl 0.1594 0.3620 0.8819  1 In 2.50, 1 Sb 2.71
Cl 0.7595 0.6135 0.6135  1 In 2.33
Cl 0.1594 0.8819 0.3620  1 In 2.50, 1 Sb 2.71
Cl 0.4341 0.8148 0.8148  1 In 2.35
Cl 0.8406 0.1181 0.6380  1 In 2.50, 1 Sb 2.71
Cl 0.2405 0.3865 0.3865  1 In 2.33
Cl 0.5659 0.1852 0.1852  1 In 2.35
Cl 0.8406 0.6380 0.1181  1 In 2.50, 1 Sb 2.71
Sb 0.0000 0.0000 0.0000  4 Cl 2.71
In 0.6944 0.7783 0.7783  4 Cl 2.33-2.50
In 0.3056 0.2217 0.2217  4 Cl 2.33-2.50

# 2
The following is a PBE calculation of a relaxed In2Sb2Cl crystal, from the Alexandria database.

Calculated values
- Fermi-level density of states: 2.68 states/eV/cell
- SG: No. 139
- E: -3.29 eV/atom
- Uncorrected formation energy: -178 meV/atom
- Size of the total moment: 0.00 μB/cell
- Energy relative to the lowest polymorph listed for this composition: 0.308 eV per formula unit

a b c (Å): 4.3136 4.3136 8.7699
angles (deg): 75.76 75.76 90.00
With the nearest neighbours (Å) after each atom.
Positions (direct):
Sb 0.2500 0.7500 0.5000  4 Sb 3.05, 4 In 3.38
Sb 0.7500 0.2500 0.5000  4 Sb 3.05, 4 In 3.38
In 0.5916 0.5916 0.8168  1 In 3.01
In 0.4084 0.4084 0.1832  1 In 3.01
Cl 0.0000 0.0000 0.0000  8 In 3.40

# 3
The following is a PBE calculation of a relaxed InSb2Cl crystal, from the Alexandria database.

Calculated values
- Fermi-level density of states: 3.12 states/eV/cell
- SG: No. 123
- E: -3.30 eV/atom
- Uncorrected formation energy: -89 meV/atom
- Size of the total moment: 0.00 μB/cell

a b c (Å): 7.1608 4.2374 4.2374
angles (deg): 90.00 90.00 90.00
With the nearest neighbours (Å) after each atom.
Positions (direct):
Sb 0.0000 0.5000 0.5000  4 Sb 3.00
Sb 0.0000 0.0000 0.0000  4 Sb 3.00
Cl 0.5000 0.5000 0.0000  4 In 3.00
In 0.5000 0.0000 0.5000  4 Cl 3.00

# 4
The following is a PBE calculation of a relaxed In12Sb3Cl5 crystal, from the Alexandria database.

Calculated values
- Fermi-level density of states: 37.29 states/eV/cell
- SG: No. 230
- E: -2.90 eV/atom
- Uncorrected formation energy: -181 meV/atom
- Size of the total moment: 0.00 μB/cell

a b c (Å): 15.7590 15.7590 15.7590
angles (deg): 109.47 109.47 109.47
With the nearest neighbours (Å) after each atom.
Positions (direct):
In 0.6443 0.5864 0.9210  2 Cl 2.98-3.09, 1 Sb 3.26
In 0.5790 0.8557 0.4136  2 Cl 2.98-3.09, 1 Sb 3.26
In 0.2233 0.6654 0.0790  2 Cl 2.98-3.09, 1 Sb 3.26
In 0.3346 0.7767 0.4210  2 Cl 2.98-3.09, 1 Sb 3.26
In 0.2233 0.5579 0.6443  2 Cl 2.98-3.09, 1 Sb 3.26
In 0.8346 0.9136 0.0579  2 Cl 2.98-3.09, 1 Sb 3.26
In 0.5864 0.9421 0.6654  2 Cl 2.98-3.09, 1 Sb 3.26
In 0.3346 0.5579 0.4136  2 Cl 2.98-3.09, 1 Sb 3.26
In 0.3557 0.4136 0.0790  2 Cl 2.98-3.09, 1 Sb 3.26
In 0.8346 0.9210 0.2767  2 Cl 2.98-3.09, 1 Sb 3.26
In 0.9210 0.8346 0.7767  2 Cl 2.98-3.09, 1 Sb 3.26
In 0.4136 0.0579 0.3346  2 Cl 2.98-3.09, 1 Sb 3.26
In 0.8557 0.2767 0.4421  2 Cl 2.98-3.09, 1 Sb 3.26
In 0.4210 0.1443 0.5864  2 Cl 2.98-3.09, 1 Sb 3.26
In 0.6443 0.0579 0.2233  2 Cl 2.98-3.09, 1 Sb 3.26
In 0.7767 0.4421 0.3557  2 Cl 2.98-3.09, 1 Sb 3.26
In 0.0579 0.4136 0.8346  2 Cl 2.98-3.09, 1 Sb 3.26
In 0.7233 0.5790 0.1654  2 Cl 2.98-3.09, 1 Sb 3.26
In 0.9421 0.3557 0.2767  2 Cl 2.98-3.09, 1 Sb 3.26
In 0.5579 0.2233 0.1443  2 Cl 2.98-3.09, 1 Sb 3.26
In 0.9210 0.0864 0.6443  2 Cl 2.98-3.09, 1 Sb 3.26
In 0.0864 0.1654 0.4421  2 Cl 2.98-3.09, 1 Sb 3.26
In 0.2767 0.4210 0.8346  2 Cl 2.98-3.09, 1 Sb 3.26
In 0.4421 0.6654 0.0864  2 Cl 2.98-3.09, 1 Sb 3.26
In 0.6654 0.4421 0.5864  2 Cl 2.98-3.09, 1 Sb 3.26
In 0.0790 0.1654 0.2233  2 Cl 2.98-3.09, 1 Sb 3.26
In 0.4210 0.2767 0.3346  2 Cl 2.98-3.09, 1 Sb 3.26
In 0.5579 0.3346 0.9136  2 Cl 2.98-3.09, 1 Sb 3.26
In 0.1654 0.0864 0.9421  2 Cl 2.98-3.09, 1 Sb 3.26
In 0.4421 0.7767 0.8557  2 Cl 2.98-3.09, 1 Sb 3.26
In 0.0790 0.9136 0.3557  2 Cl 2.98-3.09, 1 Sb 3.26
In 0.3557 0.9421 0.7767  2 Cl 2.98-3.09, 1 Sb 3.26
In 0.4136 0.3557 0.5790  2 Cl 2.98-3.09, 1 Sb 3.26
In 0.5864 0.6443 0.4210  2 Cl 2.98-3.09, 1 Sb 3.26
In 0.5790 0.7233 0.6654  2 Cl 2.98-3.09, 1 Sb 3.26
In 0.9421 0.5864 0.1654  2 Cl 2.98-3.09, 1 Sb 3.26
In 0.9136 0.0790 0.8557  2 Cl 2.98-3.09, 1 Sb 3.26
In 0.6654 0.2233 0.5790  2 Cl 2.98-3.09, 1 Sb 3.26
In 0.0579 0.6443 0.7233  2 Cl 2.98-3.09, 1 Sb 3.26
In 0.0864 0.9210 0.1443  2 Cl 2.98-3.09, 1 Sb 3.26
In 0.2767 0.8557 0.9421  2 Cl 2.98-3.09, 1 Sb 3.26
In 0.1443 0.4210 0.0864  2 Cl 2.98-3.09, 1 Sb 3.26
In 0.1443 0.7233 0.5579  2 Cl 2.98-3.09, 1 Sb 3.26
In 0.7767 0.3346 0.9210  2 Cl 2.98-3.09, 1 Sb 3.26
In 0.8557 0.5790 0.9136  2 Cl 2.98-3.09, 1 Sb 3.26
In 0.7233 0.1443 0.0579  2 Cl 2.98-3.09, 1 Sb 3.26
In 0.9136 0.8346 0.5579  2 Cl 2.98-3.09, 1 Sb 3.26
In 0.1654 0.0790 0.7233  2 Cl 2.98-3.09, 1 Sb 3.26
Sb 0.7500 0.3750 0.1250  8 In 3.26-3.35
Sb 0.3750 0.7500 0.6250  8 In 3.26-3.35
Sb 0.7500 0.8750 0.6250  8 In 3.26-3.35
Sb 0.1250 0.2500 0.8750  8 In 3.26-3.35
Sb 0.8750 0.1250 0.2500  8 In 3.26-3.35
Sb 0.1250 0.8750 0.7500  8 In 3.26-3.35
Sb 0.2500 0.6250 0.8750  8 In 3.26-3.35
Sb 0.6250 0.2500 0.3750  8 In 3.26-3.35
Sb 0.3750 0.6250 0.2500  8 In 3.26-3.35
Sb 0.6250 0.3750 0.7500  8 In 3.26-3.35
Sb 0.2500 0.1250 0.3750  8 In 3.26-3.35
Sb 0.8750 0.7500 0.1250  8 In 3.26-3.35
Cl 0.7500 0.6250 0.3750  4 In 2.98
Cl 0.6250 0.7500 0.8750  4 In 2.98
Cl 0.3750 0.1250 0.7500  4 In 2.98
Cl 0.5000 0.5000 0.5000  6 In 3.09
Cl 0.1250 0.3750 0.2500  4 In 2.98
Cl 0.1250 0.7500 0.3750  4 In 2.98
Cl 0.2500 0.3750 0.6250  4 In 2.98
Cl 0.8750 0.6250 0.7500  4 In 2.98
Cl 0.8750 0.2500 0.6250  4 In 2.98
Cl 0.5000 0.5000 0.0000  6 In 3.09
Cl 0.5000 0.0000 0.0000  6 In 3.09
Cl 0.6250 0.8750 0.2500  4 In 2.98
Cl 0.0000 0.0000 0.5000  6 In 3.09
Cl 0.0000 0.5000 0.0000  6 In 3.09
Cl 0.7500 0.1250 0.8750  4 In 2.98
Cl 0.2500 0.8750 0.1250  4 In 2.98
Cl 0.5000 0.0000 0.5000  6 In 3.09
Cl 0.3750 0.2500 0.1250  4 In 2.98
Cl 0.0000 0.0000 0.0000  6 In 3.09
Cl 0.0000 0.5000 0.5000  6 In 3.09

# 5
The following is a PBE calculation of a relaxed InSbCl2 crystal, from the Alexandria database.

Calculated values
- Fermi-level density of states: 1.48 states/eV/cell
- SG: No. 123
- E: -2.94 eV/atom
- Uncorrected formation energy: -298 meV/atom
- Size of the total moment: 0.00 μB/cell
- Energy relative to the lowest polymorph listed for this composition: 0.809 eV per formula unit

a b c (Å): 3.3734 3.3734 8.9108
angles (deg): 90.00 90.00 90.00
With the nearest neighbours (Å) after each atom.
Positions (direct):
Cl 0.0000 0.0000 0.0125  4 In 3.19, 4 Sb 3.34, 4 Cl 3.37
Cl 0.0000 0.0000 0.4875  4 In 3.19, 4 Sb 3.34, 4 Cl 3.37
Sb 0.5000 0.5000 0.7500  8 Cl 3.34, 4 Sb 3.37
In 0.5000 0.5000 0.2500  8 Cl 3.19, 4 In 3.37

# 6
The following is a PBE calculation of a relaxed InSbCl2 crystal, from the Alexandria database.

Calculated values
- Fermi-level density of states: 0.56 states/eV/cell
- SG: No. 71
- E: -3.07 eV/atom
- Uncorrected formation energy: -427 meV/atom
- Size of the total moment: 0.00 μB/cell
- Energy relative to the lowest polymorph listed for this composition: 0.291 eV per formula unit

a b c (Å): 6.1008 6.1008 6.1008
angles (deg): 141.68 121.93 71.74
With the nearest neighbours (Å) after each atom.
Positions (direct):
Cl 0.4411 0.4411 0.0000  2 Sb 2.75
Cl 0.0589 0.0589 0.0000  2 Sb 2.75
Sb 0.2500 0.7500 0.5000  4 Cl 2.75
In 0.7500 0.2500 0.5000  8 Cl 3.51-3.65, 4 Sb 3.57

# 7
The following is a PBE calculation of a relaxed InSbCl2 crystal, from the Alexandria database.

Calculated values
- Fermi-level density of states: 2.10 states/eV/cell
- SG: No. 47
- E: -2.87 eV/atom
- Uncorrected formation energy: -233 meV/atom
- Size of the total moment: 0.00 μB/cell
- Energy relative to the lowest polymorph listed for this composition: 1.068 eV per formula unit

a b c (Å): 3.3479 4.5608 6.5719
angles (deg): 90.00 90.00 90.00
With the nearest neighbours (Å) after each atom.
Positions (direct):
Sb 0.5000 0.5000 0.7500  8 Cl 3.25, 2 In 3.29, 2 Sb 3.35
In 0.5000 0.5000 0.2500  2 Sb 3.29, 8 Cl 3.29, 2 In 3.35
Cl 0.0000 0.0000 0.9939  4 Cl 3.21-3.37, 4 Sb 3.25, 4 In 3.29
Cl 0.0000 0.0000 0.5061  4 Cl 3.21-3.37, 4 Sb 3.25, 4 In 3.29

# 8
The following is a PBE calculation of a relaxed InSbCl2 crystal, from the Alexandria database.

Calculated values
- Fermi-level density of states: 0.97 states/eV/cell
- SG: No. 25
- E: -3.05 eV/atom
- Uncorrected formation energy: -413 meV/atom
- Size of the total moment: 0.00 μB/cell
- Energy relative to the lowest polymorph listed for this composition: 0.347 eV per formula unit

a b c (Å): 3.5606 5.8121 5.3286
angles (deg): 90.00 90.00 90.00
With the nearest neighbours (Å) after each atom.
Positions (direct):
Sb 0.5000 0.5000 0.6152  1 Cl 2.41
In 0.0000 0.0000 0.6132  2 Cl 2.64-2.69
Cl 0.0000 0.0000 0.1081  2 In 2.64-2.69
Cl 0.5000 0.5000 0.1636  1 Sb 2.41

# 9
The following is a PBE calculation of a relaxed InSb2Cl crystal, from the Alexandria database.

Calculated values
- Fermi-level density of states: 1.25 states/eV/cell
- SG: No. 99
- E: -3.43 eV/atom
- Uncorrected formation energy: -227 meV/atom
- Size of the total moment: 0.00 μB/cell

a b c (Å): 3.7332 3.7332 9.0397
angles (deg): 90.00 90.00 90.00
With the nearest neighbours (Å) after each atom.
Positions (direct):
Cl 0.0000 0.0000 0.5481  4 In 3.00
Sb 0.5000 0.5000 0.2070  4 Sb 3.05
Sb 0.0000 0.0000 0.0389  4 Sb 3.05
In 0.5000 0.5000 0.7061  4 Cl 3.00

# 10
The following is a PBE calculation of a relaxed In2Sb2Cl crystal, from the Alexandria database.

Calculated values
- Fermi-level density of states: 0.99 states/eV/cell
- SG: No. 139
- E: -3.35 eV/atom
- Uncorrected formation energy: -239 meV/atom
- Size of the total moment: 0.00 μB/cell
- Energy relative to the lowest polymorph listed for this composition: 0.000 eV per formula unit

a b c (Å): 5.5715 5.5715 6.2835
angles (deg): 63.68 63.68 90.00
With the nearest neighbours (Å) after each atom.
Positions (direct):
Sb 0.6436 0.6436 0.7129  1 Sb 2.81, 4 In 2.97
Sb 0.3564 0.3564 0.2871  1 Sb 2.81, 4 In 2.97
In 0.7500 0.2500 0.5000  4 Sb 2.97
In 0.2500 0.7500 0.5000  4 Sb 2.97
Cl 0.0000 0.0000 0.0000  2 Sb 3.49, 8 In 3.71

# 11
The following is a PBE calculation of a relaxed InSbCl2 crystal, from the Alexandria database.

Calculated values
- Fermi-level density of states: 1.15 states/eV/cell
- SG: No. 10
- E: -3.05 eV/atom
- Uncorrected formation energy: -414 meV/atom
- Size of the total moment: 0.00 μB/cell
- Energy relative to the lowest polymorph listed for this composition: 0.347 eV per formula unit

a b c (Å): 4.6296 3.6144 6.4035
angles (deg): 82.41 90.00 90.00
With the nearest neighbours (Å) after each atom.
Positions (direct):
Cl 0.0000 0.8935 0.9834  2 Sb 2.84
Cl 0.0000 0.6065 0.5166  2 Sb 2.84
Sb 0.5000 0.7500 0.7500  4 Cl 2.84
In 0.5000 0.2500 0.2500  8 Cl 3.24-3.55, 2 Sb 3.46, 2 In 3.61

# 12
The following is a PBE calculation of a relaxed InSb4Cl crystal, from the Alexandria database.

Calculated values
- Fermi-level density of states: 0.62 states/eV/cell
- SG: No. 216
- E: -3.50 eV/atom
- Uncorrected formation energy: 14 meV/atom
- Size of the total moment: 0.00 μB/cell

a b c (Å): 6.5274 6.5274 6.5274
angles (deg): 60.00 60.00 60.00
With the nearest neighbours (Å) after each atom.
Positions (direct):
Cl 0.7500 0.7500 0.7500  12 Sb 3.79, 4 In 4.00
Sb 0.3895 0.3895 0.8316  3 Sb 2.89
Sb 0.8316 0.3895 0.3895  3 Sb 2.89
Sb 0.3895 0.8316 0.3895  3 Sb 2.89
Sb 0.3895 0.3895 0.3895  3 Sb 2.89
In 0.0000 0.0000 0.0000  12 Sb 3.87, 4 Cl 4.00